Here is a geometry-optimized BaFeSn2Cl8 structure from Alexandria via LeMat-Bulk. Energies are from PBE-GGA.

Cell and atoms, written as extended XYZ:
```
12
Lattice="6.207 0.000 0.000 -1.076 7.163 0.000 -0.179 -2.567 7.613" Properties=species:S:1:pos:R:3 pbc="T T T"
Ba 0.000 0.000 0.000
Fe -0.090 -1.284 3.807
Sn 2.207 4.161 2.184
Sn 2.745 0.434 5.430
Cl -0.577 4.634 1.845
Cl 0.940 0.639 2.963
Cl 0.745 5.122 4.811
Cl 2.800 1.831 0.217
Cl 2.152 2.764 7.396
Cl 4.207 -0.526 2.803
Cl 4.012 3.957 4.650
Cl 5.529 -0.038 5.769
```

Calculated values
Mass density ... 3.5 g/cm³
Uncorrected formation energy ... -1.1770 eV/atom
SG ... No. 2
Calculated total energy ... -3.94 eV/atom
Total magnetization ... 0.136 μB per formula unit

***

Here is a geometry-optimized Tb2Mg2Ga4Ge structure from Alexandria via LeMat-Bulk. Energies are from PBE-GGA.

Cell and atoms, written as extended XYZ:
```
9
Lattice="-3.406 3.406 4.549 3.406 -3.406 4.549 3.406 3.406 -4.549" Properties=species:S:1:pos:R:3 pbc="T T T"
Tb 0.000 0.000 1.818
Tb 0.000 0.000 7.280
Mg 3.406 0.000 2.274
Mg 0.000 3.406 2.274
Ga 1.660 1.660 0.000
Ga 1.746 -1.746 4.549
Ga -1.746 1.746 4.549
Ga 1.746 1.746 4.549
Ge 0.000 0.000 4.549
```

Calculated values
DOS at the Fermi energy ... 0.443 states/eV/atom
Mass density ... 5.6 g/cm³
E_form ... -168 kJ/mol of formula units
SG ... No. 139
Calculated total energy ... -3.43 eV/atom
Total magnetization ... 0.000 μB per formula unit

***

Here is a geometry-optimized NdSb3Au structure from Alexandria via LeMat-Bulk. Energies are from PBE-GGA.

Cell and atoms, written as extended XYZ:
```
20
Lattice="13.181 0.000 0.000 0.000 6.338 0.000 0.000 0.000 6.384" Properties=species:S:1:pos:R:3 pbc="T T T"
Nd 2.462 0.044 1.596
Nd 2.462 3.125 4.788
Nd 10.719 3.213 1.596
Nd 10.719 6.294 4.788
Sb 0.017 1.584 0.000
Sb 0.017 1.584 3.192
Sb 3.336 3.260 1.596
Sb 3.336 6.247 4.788
Sb 5.801 4.215 4.788
Sb 5.801 5.292 1.596
Sb 7.380 1.046 4.788
Sb 7.380 2.123 1.596
Sb 9.845 0.091 1.596
Sb 9.845 3.078 4.788
Sb 13.164 4.753 0.000
Sb 13.164 4.753 3.192
Au 5.033 1.584 0.000
Au 5.033 1.584 3.192
Au 8.148 4.753 0.000
Au 8.148 4.753 3.192
```

Calculated values
DOS at the Fermi energy ... 0.401 states/eV/atom
Mass density ... 8.8 g/cm³
Uncorrected formation energy ... -0.4573 eV/atom
SG ... No. 57
Calculated total energy ... -4.54 eV/atom
Total magnetization ... 0.000 μB per formula unit

***

Here is a geometry-optimized Zr2CdRu structure from Alexandria via LeMat-Bulk. Energies are from PBE-GGA.

Cell and atoms, written as extended XYZ:
```
4
Lattice="1.599 0.923 9.326 -1.599 0.923 9.326 0.000 -1.847 9.326" Properties=species:S:1:pos:R:3 pbc="T T T"
Zr 0.000 0.000 0.000
Zr 0.000 0.000 6.713
Cd 0.000 0.000 21.247
Ru 0.000 0.000 14.151
```

Calculated values
DOS at the Fermi energy ... 1.347 states/eV/atom
Mass density ... 8.0 g/cm³
E_form ... 18 kJ/mol of formula units
SG ... No. 160
Calculated total energy ... -6.77 eV/atom
Total magnetization ... 0.001 μB per formula unit

***

Here is a geometry-optimized Zr2MnTe structure from Alexandria via LeMat-Bulk. Energies are from PBE-GGA.

Cell and atoms, written as extended XYZ:
```
8
Lattice="-3.050 3.050 5.944 3.050 -3.050 5.944 3.050 3.050 -5.944" Properties=species:S:1:pos:R:3 pbc="T T T"
Zr 4.575 1.014 -1.486
Zr 1.014 1.525 1.486
Zr -1.525 2.036 4.458
Zr 2.036 1.525 7.430
Mn 0.000 0.000 0.000
Mn 0.000 3.050 2.972
Te 3.050 0.000 2.972
Te 0.000 0.000 5.944
```

Calculated values
DOS at the Fermi energy ... 1.825 states/eV/atom
Mass density ... 5.5 g/cm³
Uncorrected formation energy ... 0.5593 eV/atom
SG ... No. 122
Calculated total energy ... -6.79 eV/atom
Total magnetization ... 0.000 μB per formula unit

***

Here is a geometry-optimized Hf6Sb3Mo structure from Alexandria via LeMat-Bulk. Energies are from PBE-GGA.

Cell and atoms, written as extended XYZ:
```
20
Lattice="4.925 -7.510 0.000 4.925 7.510 0.000 0.000 0.000 6.275" Properties=species:S:1:pos:R:3 pbc="T T T"
Hf 4.925 6.831 3.137
Hf 3.346 3.915 2.857
Hf 3.176 0.956 5.770
Hf 4.925 3.459 5.695
Hf 3.176 -0.956 2.633
Hf 6.504 3.915 2.857
Hf 3.346 -3.915 5.995
Hf 6.674 0.956 5.770
Hf 4.925 -3.459 2.557
Hf 6.674 -0.956 2.633
Hf 6.504 -3.915 5.995
Hf 4.925 -6.831 0.000
Sb 1.842 1.590 2.026
Sb 1.842 -1.590 5.163
Sb 4.925 1.337 3.461
Sb 4.925 -1.337 0.323
Sb 8.009 1.590 2.026
Sb 8.009 -1.590 5.163
Mo 4.925 5.456 1.050
Mo 4.925 -5.456 4.188
```

Calculated values
DOS at the Fermi energy ... 0.785 states/eV/atom
Mass density ... 11.0 g/cm³
Uncorrected formation energy ... -0.0567 eV/atom
SG ... No. 36
Calculated total energy ... -8.35 eV/atom
Total magnetization ... 0.000 μB per formula unit

***

Here is a geometry-optimized Cs2SnSCl6 structure from Alexandria via LeMat-Bulk. Energies are from PBE-GGA.

Cell and atoms, written as extended XYZ:
```
10
Lattice="-3.626 3.626 6.419 3.626 -3.626 6.419 3.626 3.626 -6.419" Properties=species:S:1:pos:R:3 pbc="T T T"
Cs 3.626 0.000 3.209
Cs 0.000 3.626 3.209
Sn 0.000 0.000 0.000
S 0.000 0.000 6.419
Cl 0.000 0.000 2.710
Cl 1.935 1.935 0.000
Cl 1.691 -1.691 6.419
Cl -1.691 1.691 6.419
Cl 1.691 1.691 6.419
Cl 0.000 0.000 10.128
```

Calculated values
DOS at the Fermi energy ... 0.000 states/eV/atom
Mass density ... 3.1 g/cm³
Uncorrected formation energy ... -1.0978 eV/atom
SG ... No. 139
Calculated total energy ... -3.19 eV/atom
Total magnetization ... 0.000 μB per formula unit

***

Here is a geometry-optimized BiPt2Cl structure from Alexandria via LeMat-Bulk. Energies are from PBE-GGA.

Cell and atoms, written as extended XYZ:
```
8
Lattice="-3.755 3.755 2.907 3.755 -3.755 2.907 3.755 3.755 -2.907" Properties=species:S:1:pos:R:3 pbc="T T T"
Bi 0.000 0.000 0.000
Bi 0.000 3.755 1.454
Pt 1.877 -1.842 2.180
Pt 1.913 1.877 0.727
Pt 1.877 5.597 -0.727
Pt 1.842 1.877 3.634
Cl 3.755 0.000 1.454
Cl 0.000 0.000 2.907
```

Calculated values
DOS at the Fermi energy ... 0.492 states/eV/atom
Mass density ... 12.9 g/cm³
Uncorrected formation energy ... 0.1952 eV/atom
SG ... No. 122
Calculated total energy ... -4.26 eV/atom
Total magnetization ... 0.000 μB per formula unit

***

Here is a geometry-optimized Ca2AlSi4Pt3 structure from Alexandria via LeMat-Bulk. Energies are from PBE-GGA.

Cell and atoms, written as extended XYZ:
```
10
Lattice="4.112 0.000 0.000 0.000 4.112 0.000 0.000 0.000 10.510" Properties=species:S:1:pos:R:3 pbc="T T T"
Ca 0.000 2.056 2.616
Ca 2.056 0.000 7.894
Al 0.000 0.000 5.255
Si 0.000 0.000 0.000
Si 0.000 2.056 6.771
Si 2.056 0.000 3.739
Si 2.056 2.056 0.000
Pt 0.000 2.056 9.198
Pt 2.056 0.000 1.312
Pt 2.056 2.056 5.255
```

Calculated values
DOS at the Fermi energy ... 0.377 states/eV/atom
Mass density ... 7.5 g/cm³
Uncorrected formation energy ... -0.8544 eV/atom
SG ... No. 115
Calculated total energy ... -5.61 eV/atom
Total magnetization ... 0.000 μB per formula unit

***

Here is a geometry-optimized LaMo2Ir structure from Alexandria via LeMat-Bulk. Energies are from PBE-GGA.

Cell and atoms, written as extended XYZ:
```
4
Lattice="-1.428 2.522 5.431 1.428 -2.522 5.431 1.428 2.522 -5.431" Properties=species:S:1:pos:R:3 pbc="T T T"
La 0.000 0.000 0.000
Mo 1.428 0.000 3.121
Mo 0.000 2.522 2.311
Ir 0.000 0.000 5.431
```

Calculated values
DOS at the Fermi energy ... 1.473 states/eV/atom
Mass density ... 11.1 g/cm³
E_form ... 128 kJ/mol of formula units
SG ... No. 71
Calculated total energy ... -8.53 eV/atom
Total magnetization ... 0.000 μB per formula unit

***

Here is a geometry-optimized Li3Pm2Se4 structure from Alexandria via LeMat-Bulk. Energies are from PBE-GGA.

Cell and atoms, written as extended XYZ:
```
9
Lattice="3.586 -2.067 0.000 3.586 2.067 0.000 -0.178 0.000 14.440" Properties=species:S:1:pos:R:3 pbc="T T T"
Li 0.000 0.000 0.000
Li 2.376 0.000 5.855
Li 4.619 0.000 8.585
Pm 2.222 0.000 11.221
Pm 4.773 0.000 3.219
Se -0.011 0.000 5.113
Se 2.383 0.000 1.547
Se 4.612 0.000 12.893
Se 7.005 0.000 9.327
```

Calculated values
DOS at the Fermi energy ... 0.355 states/eV/atom
Mass density ... 4.9 g/cm³
Uncorrected formation energy ... -1.4883 eV/atom
SG ... No. 12
Calculated total energy ... -4.73 eV/atom
Total magnetization ... 0.000 μB per formula unit

***

Here is a geometry-optimized NdAl2OsO8 structure from Alexandria via LeMat-Bulk. Energies are from PBE-GGA.

Cell and atoms, written as extended XYZ:
```
12
Lattice="3.649 -3.060 0.000 3.649 3.060 0.000 -1.178 0.000 6.640" Properties=species:S:1:pos:R:3 pbc="T T T"
Nd 0.000 0.000 0.000
Al 2.406 0.000 5.247
Al 3.715 0.000 1.393
Os -0.589 0.000 3.320
O 2.762 1.714 4.699
O 3.358 1.714 1.942
O 1.165 0.000 3.763
O 2.414 0.000 0.009
O 3.706 0.000 6.632
O 4.955 0.000 2.878
O 2.762 -1.714 4.699
O 3.358 -1.714 1.942
```

Calculated values
DOS at the Fermi energy ... 0.118 states/eV/atom
Mass density ... 5.8 g/cm³
Uncorrected formation energy ... -2.1821 eV/atom
SG ... No. 12
Calculated total energy ... -7.44 eV/atom
Total magnetization ... 0.975 μB per formula unit